Entry 1:
Nd2DyY | GGA-PBE | relaxed

Properties
The value obtained for the energy of formation from the pure elements is 110 meV per atom. For the energy, the calculation gives -5.04 eV/atom. The offset from the most stable computed form is 100 meV per atom. Its space group is Fm-3m, No. 225. The value obtained for the volume is 33.8 Å³/atom. For the density of states at the Fermi level, the calculation gives 7.8 states/eV/f.u.

Cell lengths 5.7593, 5.7593, 5.7593 Å; angles 60.00, 60.00, 60.00 degrees
With the nearest neighbours (Å) after each atom.
Positions (direct):
Y: 0.5000 0.5000 0.5000  8 Nd 3.53
Nd: 0.2500 0.2500 0.2500  4 Dy 3.53, 4 Y 3.53
Nd: 0.7500 0.7500 0.7500  4 Dy 3.53, 4 Y 3.53
Dy: 0.0000 0.0000 0.0000  8 Nd 3.53



Entry 2:
Nd3DyY | GGA-PBE | relaxed

Properties
The value obtained for the energy of formation from the pure elements is 69 meV per atom. For the energy, the calculation gives -5.00 eV/atom. The offset from the most stable computed form is 0 meV per atom. Its space group is C2/c, No. 15. The value obtained for the volume is 34.2 Å³/atom. For the density of states at the Fermi level, the calculation gives 7.9 states/eV/f.u.

Cell lengths 5.8499, 11.7082, 11.7082 Å; angles 63.05, 104.47, 104.47 degrees
With the nearest neighbours (Å) after each atom.
Positions (direct):
Nd: 0.5559 0.9125 0.6969  3 Y 3.35-3.59, 3 Nd 3.46-3.56, 1 Dy 3.73
Nd: 0.0559 0.6969 0.9125  3 Y 3.35-3.59, 3 Nd 3.46-3.56, 1 Dy 3.73
Nd: 0.8467 0.4397 0.7515  4 Nd 3.46-3.70, 4 Dy 3.51-3.63, 3 Y 3.55-3.74
Nd: 0.8446 0.9356 0.2543  1 Y 3.45, 4 Dy 3.53-3.58, 6 Nd 3.55-3.79
Nd: 0.3467 0.7515 0.4397  4 Nd 3.46-3.70, 4 Dy 3.51-3.63, 3 Y 3.55-3.74
Nd: 0.3446 0.2543 0.9356  1 Y 3.45, 4 Dy 3.53-3.58, 6 Nd 3.55-3.79
Nd: 0.6554 0.7457 0.0644  1 Y 3.45, 4 Dy 3.53-3.58, 6 Nd 3.55-3.79
Nd: 0.6533 0.2485 0.5603  4 Nd 3.46-3.70, 4 Dy 3.51-3.63, 3 Y 3.55-3.74
Nd: 0.1554 0.0644 0.7457  1 Y 3.45, 4 Dy 3.53-3.58, 6 Nd 3.55-3.79
Nd: 0.1533 0.5603 0.2485  4 Nd 3.46-3.70, 4 Dy 3.51-3.63, 3 Y 3.55-3.74
Nd: 0.9441 0.3031 0.0875  3 Y 3.35-3.59, 3 Nd 3.46-3.56, 1 Dy 3.73
Nd: 0.4441 0.0875 0.3031  3 Y 3.35-3.59, 3 Nd 3.46-3.56, 1 Dy 3.73
Dy: 0.7500 0.0881 0.9119  10 Nd 3.53-3.73, 2 Dy 3.63
Dy: 0.7500 0.5889 0.4111  8 Nd 3.51-3.58, 2 Dy 3.65, 2 Y 3.75
Dy: 0.2500 0.4111 0.5889  8 Nd 3.51-3.58, 2 Dy 3.65, 2 Y 3.75
Dy: 0.2500 0.9119 0.0881  10 Nd 3.53-3.73, 2 Dy 3.63
Y: 0.4475 0.5894 0.8027  7 Nd 3.35-3.74
Y: 0.9475 0.8027 0.5894  7 Nd 3.35-3.74
Y: 0.0525 0.1973 0.4106  7 Nd 3.35-3.74
Y: 0.5525 0.4106 0.1973  7 Nd 3.35-3.74



Entry 3:
Nd3Dy8Y2 | GGA-PBE | relaxed

Properties
The value obtained for the energy of formation from the pure elements is 19 meV per atom. For the energy, the calculation gives -4.91 eV/atom. The offset from the most stable computed form is 0 meV per atom. Its space group is P-1, No. 2. The value obtained for the volume is 32.4 Å³/atom. For the density of states at the Fermi level, the calculation gives 18.4 states/eV/f.u.

Cell lengths 6.1978, 8.0047, 9.4707 Å; angles 65.02, 90.09, 97.49 degrees
With the nearest neighbours (Å) after each atom.
Positions (direct):
Nd: 0.0000 0.0000 0.0000  8 Dy 3.58-3.60, 4 Nd 3.58-3.59
Nd: 0.5390 0.2323 0.8458  7 Dy 3.57-3.61, 2 Y 3.58-3.59, 3 Nd 3.58-3.60
Nd: 0.4610 0.7677 0.1542  7 Dy 3.57-3.61, 2 Y 3.58-3.59, 3 Nd 3.58-3.60
Dy: 0.2299 0.3848 0.0772  3 Nd 3.57-3.58, 8 Dy 3.57-3.59, 1 Y 3.57
Dy: 0.7701 0.6152 0.9228  3 Nd 3.57-3.58, 8 Dy 3.57-3.59, 1 Y 3.57
Dy: 0.1532 0.9232 0.3860  7 Dy 3.55-3.60, 3 Y 3.56-3.58, 2 Nd 3.59-3.60
Dy: 0.8468 0.0768 0.6140  7 Dy 3.55-3.60, 3 Y 3.56-3.58, 2 Nd 3.59-3.60
Dy: 0.3076 0.8448 0.7674  7 Dy 3.55-3.58, 2 Y 3.55-3.58, 3 Nd 3.60-3.61
Dy: 0.0768 0.4642 0.6908  6 Dy 3.55-3.60, 3 Y 3.57-3.59, 3 Nd 3.58-3.60
Dy: 0.9232 0.5358 0.3092  6 Dy 3.55-3.60, 3 Y 3.57-3.59, 3 Nd 3.58-3.60
Dy: 0.6924 0.1552 0.2326  7 Dy 3.55-3.58, 2 Y 3.55-3.58, 3 Nd 3.60-3.61
Y: 0.6162 0.6938 0.5389  9 Dy 3.55-3.59, 2 Nd 3.58-3.59, 1 Y 3.61
Y: 0.3838 0.3062 0.4611  9 Dy 3.55-3.59, 2 Nd 3.58-3.59, 1 Y 3.61



Entry 4:
Nd7DyY2 | GGA-PBE | relaxed

Properties
The value obtained for the energy of formation from the pure elements is 644 meV per atom. For the energy, the calculation gives -4.45 eV/atom. The offset from the most stable computed form is 257 meV per atom. Its space group is Cmmm, No. 65. The value obtained for the volume is 41.6 Å³/atom. For the density of states at the Fermi level, the calculation gives 15.5 states/eV/f.u.

Cell lengths 5.4745, 9.7657, 9.7657 Å; angles 127.12, 90.00, 90.00 degrees
With the nearest neighbours (Å) after each atom.
Positions (direct):
Nd: 0.0000 0.7997 0.2003  2 Y 3.17, 1 Dy 3.50, 4 Nd 3.54
Nd: 0.0000 0.2003 0.7997  2 Y 3.17, 1 Dy 3.50, 4 Nd 3.54
Nd: 0.5000 0.0715 0.2888  2 Nd 3.13-3.37, 1 Y 3.28
Nd: 0.5000 0.9285 0.7112  2 Nd 3.13-3.37, 1 Y 3.28
Nd: 0.5000 0.2888 0.0715  2 Nd 3.13-3.37, 1 Y 3.28
Nd: 0.5000 0.7112 0.9285  2 Nd 3.13-3.37, 1 Y 3.28
Nd: 0.5000 0.5000 0.5000  4 Nd 3.37, 2 Y 3.64
Dy: 0.0000 0.0000 0.0000  10 Nd 3.50-3.68
Y: 0.5000 0.7079 0.2921  4 Nd 3.17-3.28
Y: 0.5000 0.2921 0.7079  4 Nd 3.17-3.28